Ti4NbIr5 | GGA-PBE | relaxed

Computed properties:
space-group type: P4/mmm, No. 123
raw total energy: -0.3451 hartree per atom
V: 153.0 Å³ per cell
spin magnetization: 0.0 μB/f.u.

a b c (Å): 2.9234 2.9234 17.9056
angles (deg): 90.00 90.00 90.00
Fractional coordinates of all 10 atoms:
Ti  0.0000  0.0000  0.0990
Ti  0.0000  0.0000  0.2956
Ti  0.0000  0.0000  0.7044
Ti  0.0000  0.0000  0.9010
Nb  0.0000  0.0000  0.5000
Ir  0.5000  0.5000  0.0000
Ir  0.5000  0.5000  0.1985
Ir  0.5000  0.5000  0.3882
Ir  0.5000  0.5000  0.6118
Ir  0.5000  0.5000  0.8015

=====

TiNb3Ir | GGA-PBE | relaxed

Computed properties:
space-group type: Pm-3m, No. 221
raw total energy: -0.2988 hartree per atom
V: 96.5 Å³ per cell
spin magnetization: 0.0 μB/f.u.

a b c (Å): 4.5864 4.5864 4.5864
angles (deg): 90.00 90.00 90.00
Fractional coordinates of all 5 atoms:
Ti  0.0000  0.0000  0.0000
Nb  0.0000  0.0000  0.5000
Nb  0.0000  0.5000  0.0000
Nb  0.5000  0.0000  0.0000
Ir  0.5000  0.5000  0.5000

=====

Ti3NbIr | GGA-PBE | relaxed

Computed properties:
space-group type: P-1, No. 2
raw total energy: -0.3280 hartree per atom
V: 162.9 Å³ per cell
spin magnetization: 0.0 μB/f.u.

a b c (Å): 5.2710 5.2768 6.9826
angles (deg): 78.77 68.80 64.27
Fractional coordinates of all 10 atoms:
Ti  0.2337  0.4756  0.1092
Ti  0.2404  0.2424  0.5028
Ti  0.2649  0.0429  0.9034
Ti  0.7351  0.9571  0.0966
Ti  0.7596  0.7576  0.4972
Ti  0.7663  0.5244  0.8908
Nb  0.2490  0.6494  0.7026
Nb  0.7510  0.3506  0.2974
Ir  0.2542  0.8510  0.2943
Ir  0.7458  0.1490  0.7057